A geometry-optimized RbThTl2Br8 structure. Source: Alexandria, functional GGA-PBE. Values from VASP.

Geometry as Quantum ESPRESSO input:
```
&SYSTEM
  ibrav = 0, nat = 12, ntyp = 4
/
ATOMIC_SPECIES
Rb 85.47 Rb.upf
Th 232.04 Th.upf
Tl 204.38 Tl.upf
Br 79.90 Br.upf
CELL_PARAMETERS angstrom
7.074 0.000 0.000
-0.058 7.475 0.000
-0.011 -0.003 9.796
ATOMIC_POSITIONS angstrom
Rb 0.000 0.000 0.000
Th -0.006 -0.001 4.898
Tl 3.507 3.737 2.363
Tl 3.498 3.736 7.433
Br 1.595 6.368 2.856
Br 1.594 6.373 6.943
Br 1.635 2.348 4.895
Br 1.921 2.765 9.795
Br 5.084 4.708 0.001
Br 5.369 5.124 4.900
Br 5.410 1.100 2.853
Br 5.410 1.104 6.940
```

Properties
The total energy comes out at -3.4803 eV per atom. Its volume is 43.2 Å³/atom. The raw formation energy comes out at -1.272 eV/atom. Its magnetic moment is 0.000 μB/atom. The space-group type is No. 2.